A relaxed LaSbO2 crystal. Source: the Alexandria database, functional PBE.

Magnetization   0.00 μB/cell
SG   R-3m, No. 166
D(E_F)   1.07 states/eV per cell
Formation energy (no corrections)   -127.9 kJ per mole of atoms

Cell: 6.6235 6.6235 6.6235 Å, 34.01 34.01 34.01°
With the nearest neighbours (Å) after each atom.
Sites, in units of the cell vectors:
La  0.0000  0.0000  0.0000  2 O 2.22
Sb  0.5000  0.5000  0.5000  6 O 2.41
O  0.1189  0.1189  0.1189  1 La 2.22, 3 Sb 2.41
O  0.8811  0.8811  0.8811  1 La 2.22, 3 Sb 2.41